1.
This record from Alexandria via LeMat-Bulk describes a relaxed BeZnIn3 crystal. The functional is GGA-PBE.

```
5
Lattice="-0.0766 -2.9853 -3.9327 4.6522 1.2738 -1.0576 1.6538 -3.7215 2.7928" Properties=species:S:1:pos:R:3 pbc="T T T"
In 0.8269 -1.8608 1.3964
In -0.0383 -1.4927 -1.9664
In 2.3261 0.6369 -0.5288
Be 0.0000 0.0000 0.0000
Zn 3.1147 -2.7165 -1.0988
```

Values from the calculation:
Calculated formation energy: 0.351 eV/atom
SG: No. 221

2.
This record from Alexandria via LeMat-Bulk describes a relaxed Ca3Tb3SmTe8 crystal. The functional is GGA-PBE.

```
15
Lattice="-6.6584 -5.7319 0.3188 6.5093 -1.1418 -5.7990 1.5645 -1.3344 8.6846" Properties=species:S:1:pos:R:3 pbc="T T T"
Te 2.7082 -6.3866 0.9641
Te -1.3699 -5.1753 -0.4391
Te -1.2928 -1.8215 2.2403
Te 2.7853 -3.0328 3.6435
Te 1.9968 -2.3544 -0.6268
Te -4.5462 -4.6222 2.3961
Te 5.9616 -3.5859 0.8084
Te -0.5814 -5.8537 3.8313
Ca -0.0746 -3.4369 -2.7401
Ca 0.0000 0.0000 0.0000
Ca 3.2546 -0.5709 -2.8995
Sm 0.7823 -0.6672 4.3423
Tb -2.5469 -3.5331 4.5017
Tb 4.0369 -1.2381 1.4428
Tb 0.7077 -4.1041 1.6022
```

Values from the calculation:
SG: No. 166
E_form (uncorrected): -1.495 eV/atom

3.
This record from Alexandria via LeMat-Bulk describes a relaxed CsNaGa2 crystal. The functional is GGA-PBE.

```
4
Lattice="0.0000 4.0630 4.0630 4.0630 0.0000 4.0630 4.0630 4.0630 0.0000" Properties=species:S:1:pos:R:3 pbc="T T T"
Na 0.0000 0.0000 0.0000
Ga 2.0315 2.0315 2.0315
Ga 6.0946 6.0946 6.0946
Cs 4.0630 4.0630 4.0630
```

Values from the calculation:
Calculated formation energy: 0.312 eV/atom
SG: No. 225

4.
This record from Alexandria via LeMat-Bulk describes a relaxed Li2IrAu crystal. The functional is GGA-PBE.

```
4
Lattice="5.0561 -0.0022 0.0092 2.0955 4.6014 -0.0092 -2.9817 -3.2235 2.5066" Properties=species:S:1:pos:R:3 pbc="T T T"
Li 0.0119 0.0077 0.0000
Li 3.5639 2.2919 0.0000
Ir 1.3448 1.8388 1.2487
Au 2.8251 -0.4631 1.2579
```

Values from the calculation:
Calculated formation energy: -0.193 eV/atom
SG: No. 71

Number 1: E -2.292 eV/atom. Number 2: E -4.812 eV/atom. Number 3: E -1.745 eV/atom. Number 4: E -4.184 eV/atom.